# 1
Here is an optimized crystal structure of MnMo3 from Alexandria via LeMat-Bulk. Energies are from PBE-GGA.

Properties
Energy relative to the elements (eV/atom): 0.311

a = 4.575 Å, b = 5.130 Å, c = 5.179 Å
α = 90.00°, β = 90.00°, γ = 90.00°
Site moments in Bohr magnetons follow the coordinates.
Element x y z (fractional)
Mn  0.000  0.343  0.000  2.44
Mn  0.500  0.657  0.500  2.44
Mo  0.500  0.631  0.000  -0.19
Mo  0.000  0.853  0.245  0.02
Mo  0.500  0.147  0.255  0.02
Mo  0.000  0.369  0.500  -0.19
Mo  0.000  0.853  0.755  0.02
Mo  0.500  0.147  0.745  0.02

=====

# 2
Here is an optimized crystal structure of BRu2N from Alexandria via LeMat-Bulk. Energies are from PBE-GGA.

Properties
Formation energy without anion corrections (eV per formula unit): 2.984
E above lowest polymorph (eV/f.u.): 2.17

a = 3.823 Å, b = 3.823 Å, c = 3.823 Å
α = 60.00°, β = 60.00°, γ = 60.00°
Element x y z (fractional)
Ru  0.250  0.250  0.250
Ru  0.750  0.750  0.750
B  0.000  0.000  0.000
N  0.500  0.500  0.500

=====

# 3
Here is an optimized crystal structure of Pu5Ga3Cu3 from Alexandria via LeMat-Bulk. Energies are from PBE-GGA.

Properties
Energy relative to the elements (eV/atom): 0.091

a = 2.916 Å, b = 9.461 Å, c = 9.461 Å
α = 120.00°, β = 90.00°, γ = 90.00°
Site moments in Bohr magnetons follow the coordinates.
Element x y z (fractional)
Pu  0.500  0.333  0.667  5.69
Pu  0.500  0.667  0.333  5.69
Pu  0.500  0.341  0.341  5.71
Pu  0.500  0.000  0.659  5.71
Pu  0.500  0.659  0.000  5.71
Ga  0.000  0.630  0.630  -0.08
Ga  0.000  0.370  0.000  -0.08
Ga  0.000  0.000  0.370  -0.08
Cu  0.500  0.848  0.848  0.02
Cu  0.500  0.000  0.152  0.02
Cu  0.500  0.152  0.000  0.02

=====

# 4
Here is an optimized crystal structure of PmHoEr2Te6 from Alexandria via LeMat-Bulk. Energies are from PBE-GGA.

Properties
Formation energy without anion corrections (eV per formula unit): -13.537

a = 7.709 Å, b = 7.709 Å, c = 8.311 Å
α = 62.37°, β = 62.37°, γ = 60.00°
Element x y z (fractional)
Pm  0.821  0.821  0.538
Ho  0.323  0.323  0.032
Er  0.509  0.509  0.473
Er  0.007  0.007  0.978
Te  0.604  0.237  0.247
Te  0.237  0.912  0.247
Te  0.912  0.604  0.247
Te  0.402  0.733  0.751
Te  0.733  0.114  0.751
Te  0.114  0.402  0.751

=====

# 5
Here is an optimized crystal structure of TeAsIrOs2 from Alexandria via LeMat-Bulk. Energies are from PBE-GGA.

Properties
Formation energy without anion corrections (eV per formula unit): 9.722

a = 4.743 Å, b = 5.183 Å, c = 4.743 Å
α = 90.00°, β = 90.00°, γ = 90.00°
Element x y z (fractional)
Te  0.000  0.500  0.000
Ir  0.000  0.000  0.000
Os  0.000  0.000  0.500
Os  0.500  0.000  0.000
As  0.500  0.500  0.500

=====

# 6
Here is an optimized crystal structure of LiErTmZn from Alexandria via LeMat-Bulk. Energies are from PBE-GGA.

Properties
Energy relative to the elements (eV/atom): -0.116

a = 5.046 Å, b = 5.046 Å, c = 5.046 Å
α = 60.00°, β = 60.00°, γ = 60.00°
Element x y z (fractional)
Zn  0.250  0.250  0.250
Tm  0.000  0.000  0.000
Li  0.750  0.750  0.750
Er  0.500  0.500  0.500

=====

# 7
Here is an optimized crystal structure of MnAuSeN2 from Alexandria via LeMat-Bulk. Energies are from PBE-GGA.

Properties
Formation energy without anion corrections (eV per formula unit): 3.212
E above lowest polymorph (eV/f.u.): 0.00

a = 3.631 Å, b = 3.631 Å, c = 5.539 Å
α = 90.00°, β = 90.00°, γ = 90.00°
Site moments in Bohr magnetons follow the coordinates.
Element x y z (fractional)
Mn  0.000  0.000  0.000  0.52
Au  0.500  0.500  0.500  0.00
Se  0.000  0.000  0.500  -0.03
N  0.000  0.500  0.000  -0.13
N  0.500  0.000  0.000  -0.13

=====

# 8
Here is an optimized crystal structure of Sr4InTe5 from Alexandria via LeMat-Bulk. Energies are from PBE-GGA.

Properties
Formation energy without anion corrections (eV per formula unit): -14.024

a = 6.613 Å, b = 8.182 Å, c = 8.182 Å
α = 80.60°, β = 66.16°, γ = 66.16°
Element x y z (fractional)
Sr  0.401  0.401  0.799
Sr  0.801  0.799  0.599
Sr  0.200  0.201  0.401
Sr  0.601  0.599  0.201
In  0.004  0.000  0.000
Te  0.902  0.394  0.803
Te  0.296  0.803  0.606
Te  0.705  0.197  0.394
Te  0.099  0.606  0.197
Te  0.501  0.000  0.000

=====

# 9
Here is an optimized crystal structure of Tm2Th3Fe2 from Alexandria via LeMat-Bulk. Energies are from PBE-GGA.

Properties
Energy relative to the elements (eV/atom): 0.019

a = 3.851 Å, b = 9.246 Å, c = 6.198 Å
α = 60.61°, β = 71.88°, γ = 90.00°
Element x y z (fractional)
Tm  0.390  0.608  0.220
Tm  0.610  0.392  0.780
Th  0.000  0.000  0.000
Th  0.838  0.255  0.322
Th  0.162  0.745  0.678
Fe  0.639  0.919  0.721
Fe  0.361  0.081  0.279

=====

# 10
Here is an optimized crystal structure of LuThMg from Alexandria via LeMat-Bulk. Energies are from PBE-GGA.

Properties
Energy relative to the elements (eV/atom): 0.006
E above lowest polymorph (eV/f.u.): 0.00

a = 3.520 Å, b = 3.520 Å, c = 7.436 Å
α = 103.69°, β = 103.69°, γ = 90.00°
Element x y z (fractional)
Mg  0.661  0.661  0.323
Lu  0.006  0.006  0.012
Th  0.333  0.333  0.665